No. 1
Computed, not measured: an optimized crystal structure of ZrAs2Br at the PBE level of DFT.

Cell lengths 3.570, 3.882, 7.849 Å; angles 89.81, 90.00, 90.00 degrees
Fractional positions:
As (0.000, 0.124, 0.937)
As (0.500, 0.123, 0.156)
Br (0.000, 0.627, 0.569)
Zr (0.500, 0.625, 0.838)

- Symmetry: Pm, No. 6
- Offset from the most stable computed form: 0.0 meV per atom


No. 2
Computed, not measured: an optimized crystal structure of AcLaTcO6 at the PBE level of DFT.

Cell lengths 5.756, 5.756, 5.156 Å; angles 90.00, 90.00, 60.00 degrees
Each line ends with the local moment (μB).
Fractional positions:
Ac (0.000, 0.000, 0.000)  0.02
La (0.667, 0.667, 0.500)  0.01
Tc (0.333, 0.333, 0.500)  0.76
O (0.056, 0.329, 0.286)  0.02
O (0.329, 0.056, 0.714)  0.02
O (0.615, 0.329, 0.714)  0.02
O (0.056, 0.615, 0.714)  0.02
O (0.329, 0.615, 0.286)  0.02
O (0.615, 0.056, 0.286)  0.02

- Symmetry: P312, No. 149


No. 3
Computed, not measured: an optimized crystal structure of BSe2SN at the PBE level of DFT.

Cell lengths 5.105, 5.105, 3.259 Å; angles 90.00, 90.00, 90.00 degrees
Fractional positions:
S (0.000, 0.000, 0.000)
B (0.500, 0.500, 0.500)
Se (0.000, 0.500, 0.000)
Se (0.500, 0.000, 0.000)
N (0.000, 0.000, 0.500)

- Symmetry: P4/mmm, No. 123
- Offset from the most stable computed form: 1286.7 meV per atom


No. 4
Computed, not measured: an optimized crystal structure of Ac2NdSi2 at the PBE level of DFT.

Cell lengths 4.517, 6.476, 6.475 Å; angles 61.26, 69.58, 69.59 degrees
Fractional positions:
Ac (0.704, 0.796, 0.296)
Ac (0.296, 0.204, 0.704)
Nd (0.500, 0.500, 0.000)
Si (0.000, 0.189, 0.311)
Si (0.000, 0.811, 0.689)

- Symmetry: Immm, No. 71
- Offset from the most stable computed form: 6.3 meV per atom


No. 5
Computed, not measured: an optimized crystal structure of Li2LaHgF at the PBE level of DFT.

Cell lengths 4.442, 4.442, 5.159 Å; angles 90.00, 90.00, 90.00 degrees
Each line ends with the local moment (μB).
Fractional positions:
F (0.000, 0.000, 0.000)  0.00
Li (0.000, 0.500, 0.000)  0.01
Li (0.500, 0.000, 0.000)  0.01
Hg (0.500, 0.500, 0.500)  0.06
La (0.000, 0.000, 0.500)  0.15

- Symmetry: P4/mmm, No. 123


No. 6
Computed, not measured: an optimized crystal structure of LaMg2GaN at the PBE level of DFT.

Cell lengths 3.668, 6.917, 7.902 Å; angles 90.00, 90.00, 105.38 degrees
Fractional positions:
La (0.470, 0.939, 0.750)
La (0.530, 0.061, 0.250)
Mg (0.153, 0.307, 0.952)
Mg (0.847, 0.693, 0.048)
Mg (0.153, 0.307, 0.548)
Mg (0.847, 0.693, 0.452)
Ga (0.747, 0.494, 0.750)
Ga (0.253, 0.506, 0.250)
N (0.000, 0.000, 0.000)
N (0.000, 0.000, 0.500)

- Symmetry: Cmcm, No. 63
- Offset from the most stable computed form: 0.0 meV per atom


The formation energy from raw total energies results, record by record, are as follows: -0.6216, -2.4644, 1.6786, -0.5238, -1.1860, -0.6125 eV/atom.
The VASP energy results, record by record, are as follows: -5.50, -7.93, -3.54, -5.29, -3.37, -4.51 eV per atom.